A geometry-optimized NbTc3B structure, computed with PBE-GGA.

Lattice parameters (Å, degrees): 4.7191 4.7191 4.7191 90.00 90.00 90.00
Closest atoms and distances in Å follow each position.
Atoms (fractional coordinates):
Nb (0.0000, 0.0000, 0.0000)  6 Tc 2.36
Tc (0.0000, 0.0000, 0.5000)  2 Nb 2.36
Tc (0.0000, 0.5000, 0.0000)  2 Nb 2.36
Tc (0.5000, 0.0000, 0.0000)  2 Nb 2.36
B (0.5000, 0.5000, 0.5000)  12 Tc 3.34

## Properties
ρ   6.28 g cm⁻³
Spin magnetization   3.354 μB per cell
Formation energy   61.55 kcal/mol of atoms
Fermi-level density of states   1.065 states/eV/atom
ΔE to the lowest computed polymorph   2747.2 meV per atom